1.
VASP calculation (GGA-PBE) on a relaxed structure of Sc4ClO5.

Computed properties:
Symmetry = Pmmn, No. 59

The structure in POSCAR format:
```
Sc4ClO5
1.0
5.361 0.000 0.000
0.000 6.395 0.000
0.000 0.000 8.455
O Sc Cl
10 8 2
Direct
0.775 0.247 0.320 O
0.775 0.247 0.680 O
0.225 0.253 0.180 O
0.225 0.747 0.820 O
0.775 0.753 0.320 O
0.742 0.500 0.000 O
0.775 0.753 0.680 O
0.225 0.747 0.180 O
0.225 0.253 0.820 O
0.258 0.000 0.500 O
0.451 0.738 0.000 Sc
0.549 0.238 0.500 Sc
0.549 0.762 0.500 Sc
0.959 0.500 0.788 Sc
0.451 0.262 0.000 Sc
0.041 0.000 0.712 Sc
0.041 0.000 0.288 Sc
0.959 0.500 0.212 Sc
0.190 0.500 0.500 Cl
0.810 0.000 0.000 Cl
```

***

2.
VASP calculation (GGA-PBE) on a relaxed structure of ScClO.

Computed properties:
Symmetry = P3m1, No. 156

The structure in POSCAR format:
```
ScClO
1.0
-2.309 0.034 -2.476
1.730 -2.834 0.663
-4.129 -1.625 3.828
Cl O Sc
1 1 1
Direct
0.000 0.000 0.097 Cl
0.333 0.667 0.505 O
0.667 0.333 0.398 Sc
```

***

3.
VASP calculation (GGA-PBE) on a relaxed structure of ScSeClO4.

Computed properties:
Symmetry = C2/m, No. 12

The structure in POSCAR format:
```
ScSeClO4
1.0
-3.180 -3.359 3.720
-3.955 -3.218 -3.040
2.962 -5.715 -0.459
Sc O Se Cl
2 8 2 2
Direct
0.783 0.783 0.115 Sc
0.217 0.217 0.885 Sc
0.877 0.510 0.863 O
0.490 0.123 0.137 O
0.732 0.732 0.473 O
0.465 0.465 0.753 O
0.268 0.268 0.527 O
0.535 0.535 0.247 O
0.510 0.877 0.863 O
0.123 0.490 0.137 O
0.362 0.362 0.276 Se
0.638 0.638 0.724 Se
0.016 0.016 0.229 Cl
0.984 0.984 0.771 Cl
```

***

4.
VASP calculation (GGA-PBE) on a relaxed structure of ScTc2ClO8.

Computed properties:
Symmetry = C2/m, No. 12

The structure in POSCAR format:
```
ScTc2ClO8
1.0
-4.933 -3.420 -2.543
-1.945 -5.524 2.864
-3.513 2.833 3.045
O Tc Sc Cl
8 2 1 1
Direct
0.187 0.187 0.864 O
0.187 0.626 0.860 O
0.813 0.813 0.136 O
0.626 0.187 0.860 O
0.813 0.374 0.140 O
0.669 0.669 0.556 O
0.374 0.813 0.140 O
0.331 0.331 0.444 O
0.667 0.667 0.241 Tc
0.333 0.333 0.759 Tc
0.000 0.000 0.000 Sc
0.000 0.000 0.500 Cl
```

***

5.
VASP calculation (GGA-PBE) on a relaxed structure of ScTeClO4.

Computed properties:
Symmetry = C2/m, No. 12

The structure in POSCAR format:
```
ScTeClO4
1.0
-1.902 -2.740 5.035
2.887 -5.247 0.786
4.826 1.554 4.522
O Cl Sc Te
8 2 2 2
Direct
0.448 0.448 0.744 O
0.552 0.552 0.256 O
0.117 0.501 0.130 O
0.883 0.499 0.870 O
0.750 0.750 0.454 O
0.250 0.250 0.546 O
0.501 0.117 0.130 O
0.499 0.883 0.870 O
0.021 0.021 0.219 Cl
0.979 0.979 0.781 Cl
0.221 0.221 0.885 Sc
0.779 0.779 0.115 Sc
0.636 0.636 0.716 Te
0.364 0.364 0.284 Te
```

***

6.
VASP calculation (GGA-PBE) on a relaxed structure of ScTl2ClO.

Computed properties:
Symmetry = P4/mmm, No. 123

The structure in POSCAR format:
```
ScTl2ClO
1.0
5.735 0.000 0.000
0.000 4.768 0.000
0.000 0.000 5.735
Cl Tl O Sc
1 2 1 1
Direct
0.000 0.000 0.000 Cl
0.500 0.000 0.000 Tl
0.000 0.000 0.500 Tl
0.500 0.500 0.500 O
0.000 0.500 0.000 Sc
```

***

What are the size of the total moment values for these records? In order: 0.00, 0.00, 0.00, 0.00, 0.00, 1.45 Bohr magnetons per cell.
What are the VASP energy values for these records? In order: -8.23, -7.20, -6.03, -7.38, -6.05, -3.29 eV per atom.
What are the formation energy from raw total energies values for these records? In order: -3.03, -2.83, -1.53, -1.66, -1.60, 0.29 eV/atom.